The following is a PBE calculation of a relaxed LiZr3S6 crystal, from Alexandria.

abc: 7.030 7.030 7.030
angles: 54.60 54.60 54.60
Positions (direct):
Li: 0.000 0.000 0.000
Zr: 0.188 0.188 0.188
Zr: 0.512 0.512 0.512
Zr: 0.691 0.691 0.691
S: 0.104 0.778 0.419
S: 0.295 0.583 0.927
S: 0.419 0.104 0.778
S: 0.583 0.927 0.295
S: 0.778 0.419 0.104
S: 0.927 0.295 0.583

## Properties
* E_form (uncorrected): -14.57 eV/f.u.


The following is a PBE calculation of a relaxed ZrTa3I crystal, from Alexandria.

abc: 4.968 4.968 4.968
angles: 90.00 90.00 90.00
Positions (direct):
Zr: 0.000 0.000 0.000
Ta: 0.000 0.500 0.500
Ta: 0.500 0.000 0.500
Ta: 0.500 0.500 0.000
I: 0.500 0.500 0.500

## Properties
* relative energy among the computed polymorphs: 0.000 eV per atom
* E_form (uncorrected): 8.83 eV/f.u.


The following is a PBE calculation of a relaxed ZnHgRu2 crystal, from Alexandria.

abc: 4.779 4.779 4.779
angles: 130.14 130.14 73.18
Positions (direct):
Zn: 0.000 0.000 0.000
Hg: 0.250 0.750 0.500
Ru: 0.500 0.500 0.000
Ru: 0.750 0.250 0.500

## Properties
* relative energy among the computed polymorphs: 0.260 eV per atom
* energy of formation from the pure elements: 402 meV/atom


The following is a PBE calculation of a relaxed Ho3CdFe crystal, from Alexandria.

abc: 5.891 5.891 9.091
angles: 112.88 112.88 63.84
Positions (direct):
Ho: 0.025 0.025 0.220
Ho: 0.301 0.301 0.687
Ho: 0.309 0.309 0.123
Ho: 0.691 0.691 0.877
Ho: 0.699 0.699 0.313
Ho: 0.975 0.975 0.780
Cd: 0.277 0.723 0.500
Cd: 0.723 0.277 0.500
Fe: 0.318 0.682 0.000
Fe: 0.682 0.318 0.000

## Properties
* relative energy among the computed polymorphs: 0.000 eV per atom
* energy of formation from the pure elements: -101 meV/atom


Theoretical density readings, ordered: 3.658, 10.307, 12.485, 8.750 Mg/m³